A geometry-optimized CdSe2Br structure, computed with PBE.

abc: 5.4173 4.7202 4.7202
angles: 69.74 90.00 90.00
Element x y z (fractional)
Cd (0.0000, 0.0000, 0.0000)
Se (0.0000, 0.3476, 0.3476)
Se (0.5000, 0.3762, 0.3762)
Br (0.5000, 0.8733, 0.8733)

total moment = 0.00 μB/cell
polymorph energy (0 for the lowest one) = 0.51 eV/f.u.
space-group type = Amm2 (38)
total energy = -2.560 eV/atom
energy relative to the elements, uncorrected = -0.1709 eV/atom

A geometry-optimized Zr2TlTe4 structure, computed with PBE.

abc: 7.3425 7.3425 14.7762
angles: 90.00 90.00 147.02
Element x y z (fractional)
Zr (0.1356, 0.8644, 0.5630)
Zr (0.1356, 0.8644, 0.9370)
Zr (0.8644, 0.1356, 0.0630)
Zr (0.8644, 0.1356, 0.4370)
Tl (0.4050, 0.5950, 0.7500)
Tl (0.5950, 0.4050, 0.2500)
Te (0.0806, 0.9194, 0.7500)
Te (0.2277, 0.7723, 0.1149)
Te (0.2277, 0.7723, 0.3851)
Te (0.5000, 0.5000, 0.0000)
Te (0.5000, 0.5000, 0.5000)
Te (0.7723, 0.2277, 0.6149)
Te (0.7723, 0.2277, 0.8851)
Te (0.9194, 0.0806, 0.2500)

total moment = 0.00 μB/cell
polymorph energy (0 for the lowest one) = 0.54 eV/f.u.
space-group type = Cmcm (63)
total energy = -5.252 eV/atom
energy relative to the elements, uncorrected = -0.6759 eV/atom

A geometry-optimized CsAu3S structure, computed with PBE.

abc: 6.0580 6.0580 6.0580
angles: 90.00 90.00 90.00
Element x y z (fractional)
Cs (0.0000, 0.0000, 0.0000)
Au (0.0000, 0.0000, 0.5000)
Au (0.0000, 0.5000, 0.0000)
Au (0.5000, 0.0000, 0.0000)
S (0.5000, 0.5000, 0.5000)

total moment = 1.38 μB/cell
polymorph energy (0 for the lowest one) = 7.68 eV/f.u.
space-group type = Pm-3m (221)
total energy = -1.371 eV/atom
energy relative to the elements, uncorrected = 1.5913 eV/atom

A geometry-optimized SrTl4Cl structure, computed with PBE.

abc: 6.4912 6.4912 6.4912
angles: 60.00 60.00 60.00
Element x y z (fractional)
Sr (0.0000, 0.0000, 0.0000)
Tl (0.1262, 0.6246, 0.6246)
Tl (0.6246, 0.1262, 0.6246)
Tl (0.6246, 0.6246, 0.1262)
Tl (0.6246, 0.6246, 0.6246)
Cl (0.2500, 0.2500, 0.2500)

total moment = 0.00 μB/cell
space-group type = F-43m (216)
total energy = -2.447 eV/atom
energy relative to the elements, uncorrected = -0.2817 eV/atom

A geometry-optimized Tb4ErTm5 structure, computed with PBE.

abc: 3.5220 6.6923 13.7404
angles: 97.48 90.38 104.88
Element x y z (fractional)
Tb (0.1233, 0.2049, 0.3074)
Tb (0.1762, 0.3257, 0.7127)
Tb (0.8238, 0.6743, 0.2873)
Tb (0.8767, 0.7951, 0.6926)
Er (0.0000, 0.5000, 0.5000)
Tm (0.1877, 0.3749, 0.0832)
Tm (0.4654, 0.9193, 0.1133)
Tm (0.5000, 0.0000, 0.5000)
Tm (0.5346, 0.0807, 0.8867)
Tm (0.8123, 0.6251, 0.9168)

total moment = 0.00 μB/cell
polymorph energy (0 for the lowest one) = 0.00 eV/f.u.
space-group type = P-1 (2)
total energy = -4.487 eV/atom
energy of formation from the pure elements = 0.057 eV/atom

A geometry-optimized HoTe3 structure, computed with PBE.

abc: 13.5642 13.5642 4.3172
angles: 90.00 90.00 161.69
Element x y z (fractional)
Ho (0.1734, 0.8266, 0.7500)
Ho (0.8266, 0.1734, 0.2500)
Te (0.0783, 0.9217, 0.2500)
Te (0.2921, 0.7079, 0.7500)
Te (0.4217, 0.5783, 0.2500)
Te (0.5783, 0.4217, 0.7500)
Te (0.7079, 0.2921, 0.2500)
Te (0.9217, 0.0783, 0.7500)

total moment = 0.00 μB/cell
space-group type = Cmcm (63)
total energy = -4.401 eV/atom
energy relative to the elements, uncorrected = -0.9005 eV/atom